# 1
# GGA-PBE Er5InPb2, relaxed
# ρ, Mg/m³: 9.9
# Energy of formation, eV per atom: -0.401
# Total magnetic moment, Bohr magnetons per cell: 0.0
data_Er5InPb2
_chemical_formula_sum 'Er20 In4 Pb8'
_cell_length_a 8.2236
_cell_length_b 8.2236
_cell_length_c 13.5800
_cell_angle_alpha 90.00
_cell_angle_beta 90.00
_cell_angle_gamma 90.00
_symmetry_space_group_name_H-M 'I 4/m c m'
_symmetry_Int_Tables_number 140
_symmetry_space_group_name_Hall '-I 4 2c'
loop_
_atom_site_label
_atom_site_type_symbol
_atom_site_fract_x
_atom_site_fract_y
_atom_site_fract_z
Er1 Er 0.0000 0.0000 0.0000
Er2 Er 0.1544 0.3456 0.1527
In1 In 0.0000 0.0000 0.2500
Pb1 Pb 0.1479 0.3521 0.5000

# 2
# GGA-PBE Np4Sb2C, relaxed
# Uncorrected energy, eV per formula unit: -69.69
# ρ, Mg/m³: 11.3
# Total magnetic moment, Bohr magnetons per cell: 35.0
data_Np4Sb2C
_chemical_formula_sum 'Np8 Sb4 C2'
_cell_length_a 4.7151
_cell_length_b 4.7151
_cell_length_c 15.9678
_cell_angle_alpha 90.00
_cell_angle_beta 90.00
_cell_angle_gamma 90.00
_symmetry_space_group_name_H-M 'I 4/m m m'
_symmetry_Int_Tables_number 139
_symmetry_space_group_name_Hall '-I 4 2'
loop_
_atom_site_label
_atom_site_type_symbol
_atom_site_fract_x
_atom_site_fract_y
_atom_site_fract_z
Np1 Np 0.0000 0.0000 0.1561
Np2 Np 0.0000 0.5000 0.0000
Sb1 Sb 0.0000 0.0000 0.3570
C1 C 0.0000 0.0000 0.0000

> Which value of ρ does entry 1 give?

9.9 Mg/m³